## AlZnSn2 (GGA-PBE)

Data for AlZnSn2 after structural relaxation.

Unit cell a=5.062 b=5.062 c=5.062 alpha=60.00 beta=60.00 gamma=60.00
Positions (direct):
1 Al 0.500 0.500 0.500
2 Sn 0.000 0.000 0.000
3 Sn 0.750 0.750 0.750
4 Zn 0.250 0.250 0.250

Calculated values
As for the space-group type: F-43m (216). Its raw total energy is -12.17 eV for the cell shown.

=====

## AlZnSn (GGA-PBE)

Data for AlZnSn after structural relaxation.

Unit cell a=4.642 b=4.642 c=4.642 alpha=60.00 beta=60.00 gamma=60.00
Positions (direct):
1 Al 0.250 0.250 0.250
2 Sn 0.000 0.000 0.000
3 Zn 0.750 0.750 0.750

Calculated values
As for the space-group type: F-43m (216). Its raw total energy is -8.34 eV for the cell shown.

=====

## Al2Zn2Sn3 (GGA-PBE)

Data for Al2Zn2Sn3 after structural relaxation.

Unit cell a=8.622 b=8.622 c=8.622 alpha=32.50 beta=32.50 gamma=32.50
Positions (direct):
1 Al 0.245 0.245 0.245
2 Al 0.752 0.752 0.752
3 Sn 0.379 0.379 0.379
4 Sn 0.624 0.624 0.624
5 Sn 0.869 0.869 0.869
6 Zn 0.014 0.014 0.014
7 Zn 0.493 0.493 0.493

Calculated values
As for the space-group type: R3m (160). Its raw total energy is -20.35 eV for the cell shown.

=====

## ZrAl2Sn (GGA-PBE)

Data for ZrAl2Sn after structural relaxation.

Unit cell a=4.897 b=4.897 c=4.897 alpha=60.00 beta=60.00 gamma=60.00
Each line ends with the local moment (μB).
Positions (direct):
1 Al 0.000 0.000 0.000  0.00
2 Al 0.250 0.250 0.250  0.01
3 Sn 0.750 0.750 0.750  0.03
4 Zr 0.500 0.500 0.500  0.35

Calculated values
As for the space-group type: F-43m (216). As for the size of the total moment: 0.61 Bohr magnetons per cell. Its raw total energy is -19.40 eV for the cell shown.

=====

## ZrAlSn (GGA-PBE)

Data for ZrAlSn after structural relaxation.

Unit cell a=4.622 b=4.622 c=4.622 alpha=60.00 beta=60.00 gamma=60.00
Positions (direct):
1 Al 0.000 0.000 0.000
2 Sn 0.250 0.250 0.250
3 Zr 0.750 0.750 0.750

Calculated values
As for the space-group type: F-43m (216). As for the size of the total moment: 0.57 Bohr magnetons per cell. Its raw total energy is -15.79 eV for the cell shown.

=====

## SrTaAl (GGA-PBE)

Data for SrTaAl after structural relaxation.

Unit cell a=5.043 b=5.043 c=5.043 alpha=60.00 beta=60.00 gamma=60.00
Positions (direct):
1 Al 0.250 0.250 0.250
2 Sr 0.000 0.000 0.000
3 Ta 0.750 0.750 0.750

Calculated values
As for the space-group type: F-43m (216). As for the size of the total moment: 2.30 Bohr magnetons per cell. Its raw total energy is -11.81 eV for the cell shown. For the energy relative to the lowest polymorph listed for this composition, the calculation gives 0.794 eV/atom.

=====

## SrTaAl (GGA-PBE)

Data for SrTaAl after structural relaxation.

Unit cell a=4.894 b=4.894 c=4.894 alpha=60.00 beta=60.00 gamma=60.00
Positions (direct):
1 Al 0.000 0.000 0.000
2 Sr 0.250 0.250 0.250
3 Ta 0.750 0.750 0.750

Calculated values
As for the space-group type: F-43m (216). As for the size of the total moment: 1.51 Bohr magnetons per cell. Its raw total energy is -14.19 eV for the cell shown. For the energy relative to the lowest polymorph listed for this composition, the calculation gives 0.000 eV/atom.

=====

## SrTbAl (GGA-PBE)

Data for SrTbAl after structural relaxation.

Unit cell a=5.335 b=5.335 c=5.335 alpha=60.00 beta=60.00 gamma=60.00
Positions (direct):
1 Al 0.000 0.000 0.000
2 Sr 0.250 0.250 0.250
3 Tb 0.750 0.750 0.750

Calculated values
As for the space-group type: F-43m (216). As for the size of the total moment: 0.01 Bohr magnetons per cell. Its raw total energy is -9.75 eV for the cell shown.

=====

## SrTbAlTe3 (GGA-PBE)

Data for SrTbAlTe3 after structural relaxation.

Unit cell a=8.236 b=8.236 c=10.805 alpha=90.00 beta=90.00 gamma=149.39
Positions (direct):
1 Al 0.518 0.482 0.250
2 Al 0.482 0.518 0.750
3 Sr 0.228 0.772 0.250
4 Sr 0.772 0.228 0.750
5 Tb 0.000 0.000 0.000
6 Tb 0.000 0.000 0.500
7 Te 0.639 0.361 0.053
8 Te 0.893 0.107 0.250
9 Te 0.639 0.361 0.447
10 Te 0.361 0.639 0.553
11 Te 0.107 0.893 0.750
12 Te 0.361 0.639 0.947

Calculated values
As for the space-group type: Cmcm (63). As for the size of the total moment: 0.00 Bohr magnetons per cell. Its raw total energy is -50.39 eV for the cell shown.

=====

## SrAl2Tc (GGA-PBE)

Data for SrAl2Tc after structural relaxation.

Unit cell a=4.781 b=4.781 c=4.781 alpha=60.00 beta=60.00 gamma=60.00
Each line ends with the local moment (μB).
Positions (direct):
1 Al 0.000 0.000 0.000  0.01
2 Al 0.250 0.250 0.250  -0.01
3 Sr 0.750 0.750 0.750  0.03
4 Tc 0.500 0.500 0.500  0.38

Calculated values
As for the space-group type: F-43m (216). As for the size of the total moment: 0.51 Bohr magnetons per cell. Its raw total energy is -17.66 eV for the cell shown.

=====

## SrThAl (GGA-PBE)

Data for SrThAl after structural relaxation.

Unit cell a=5.294 b=5.294 c=5.294 alpha=60.00 beta=60.00 gamma=60.00
Each line ends with the local moment (μB).
Positions (direct):
1 Al 0.000 0.000 0.000  0.00
2 Sr 0.250 0.250 0.250  0.02
3 Th 0.750 0.750 0.750  0.07

Calculated values
As for the space-group type: F-43m (216). As for the size of the total moment: 0.27 Bohr magnetons per cell. Its raw total energy is -11.94 eV for the cell shown. For the energy relative to the lowest polymorph listed for this composition, the calculation gives 0.000 eV/atom.

=====

## SrTmAl (GGA-PBE)

Data for SrTmAl after structural relaxation.

Unit cell a=5.296 b=5.296 c=5.296 alpha=60.00 beta=60.00 gamma=60.00
Positions (direct):
1 Al 0.000 0.000 0.000
2 Sr 0.250 0.250 0.250
3 Tm 0.750 0.750 0.750

Calculated values
As for the space-group type: F-43m (216). As for the size of the total moment: 0.00 Bohr magnetons per cell. Its raw total energy is -9.54 eV for the cell shown. For the energy relative to the lowest polymorph listed for this composition, the calculation gives 0.000 eV/atom.

=====

## Sr2AlW2 (GGA-PBE)

Data for Sr2AlW2 after structural relaxation.

Unit cell a=4.079 b=4.079 c=21.490 alpha=90.00 beta=90.00 gamma=120.00
Each line ends with the local moment (μB).
Positions (direct):
1 Al 0.000 0.000 0.250  0.00
2 Al 0.000 0.000 0.750  0.00
3 Sr 0.333 0.667 0.084  0.03
4 Sr 0.333 0.667 0.416  0.03
5 Sr 0.667 0.333 0.584  0.03
6 Sr 0.667 0.333 0.916  0.03
7 W 0.667 0.333 0.196  0.10
8 W 0.667 0.333 0.304  0.10
9 W 0.333 0.667 0.696  0.10
10 W 0.333 0.667 0.804  0.10

Calculated values
As for the space-group type: P6_3/mmc (194). As for the size of the total moment: 1.21 Bohr magnetons per cell. Its raw total energy is -55.71 eV for the cell shown.

=====

## Sr2AlZn (GGA-PBE)

Data for Sr2AlZn after structural relaxation.

Unit cell a=5.415 b=5.415 c=5.415 alpha=60.00 beta=60.00 gamma=60.00
Positions (direct):
1 Al 0.500 0.500 0.500
2 Sr 0.000 0.000 0.000
3 Sr 0.750 0.750 0.750
4 Zn 0.250 0.250 0.250

Calculated values
As for the space-group type: F-43m (216). Its raw total energy is -7.93 eV for the cell shown.

=====

## Sr2AlZn2 (GGA-PBE)

Data for Sr2AlZn2 after structural relaxation.

Unit cell a=4.264 b=4.264 c=8.144 alpha=105.18 beta=105.18 gamma=90.00
Positions (direct):
1 Al 0.000 0.000 0.000
2 Sr 0.606 0.606 0.212
3 Sr 0.394 0.394 0.788
4 Zn 0.750 0.250 0.500
5 Zn 0.250 0.750 0.500

Calculated values
As for the space-group type: I4/mmm (139). Its raw total energy is -8.81 eV for the cell shown.

=====

## TaAl (GGA-PBE)

Data for TaAl after structural relaxation.

Unit cell a=3.737 b=3.737 c=3.737 alpha=60.00 beta=60.00 gamma=60.00
Positions (direct):
1 Al 0.000 0.000 0.000
2 Ta 0.500 0.500 0.500

Calculated values
As for the space-group type: Fm-3m (225). As for the size of the total moment: 0.00 Bohr magnetons per cell. Its raw total energy is -14.63 eV for the cell shown.

=====

## Ta9Al4 (GGA-PBE)

Data for Ta9Al4 after structural relaxation.

Unit cell a=10.071 b=10.071 c=10.071 alpha=31.14 beta=31.14 gamma=31.14
Positions (direct):
1 Al 0.352 0.352 0.352
2 Al 0.453 0.453 0.453
3 Al 0.547 0.547 0.547
4 Al 0.648 0.648 0.648
5 Ta 0.000 0.000 0.000
6 Ta 0.587 0.088 0.088
7 Ta 0.088 0.587 0.088
8 Ta 0.167 0.167 0.167
9 Ta 0.912 0.912 0.413
10 Ta 0.088 0.088 0.587
11 Ta 0.833 0.833 0.833
12 Ta 0.912 0.413 0.912
13 Ta 0.413 0.912 0.912

Calculated values
As for the space-group type: R-3m (166). As for the size of the total moment: 0.04 Bohr magnetons per cell. Its raw total energy is -118.42 eV for the cell shown. For the energy relative to the lowest polymorph listed for this composition, the calculation gives 0.224 eV/atom.

=====

## Ta3Al10 (GGA-PBE)

Data for Ta3Al10 after structural relaxation.

Unit cell a=9.542 b=9.542 c=9.542 alpha=32.14 beta=32.14 gamma=32.14
Positions (direct):
1 Al 0.583 0.092 0.092
2 Al 0.092 0.583 0.092
3 Al 0.168 0.168 0.168
4 Al 0.908 0.908 0.417
5 Al 0.454 0.454 0.454
6 Al 0.546 0.546 0.546
7 Al 0.092 0.092 0.583
8 Al 0.832 0.832 0.832
9 Al 0.908 0.417 0.908
10 Al 0.417 0.908 0.908
11 Ta 0.000 0.000 0.000
12 Ta 0.352 0.352 0.352
13 Ta 0.648 0.648 0.648

Calculated values
As for the space-group type: R-3m (166). As for the size of the total moment: 0.00 Bohr magnetons per cell. Its raw total energy is -73.40 eV for the cell shown. For the energy relative to the lowest polymorph listed for this composition, the calculation gives 0.049 eV/atom.

=====

## Ta9Al4 (GGA-PBE)

Data for Ta9Al4 after structural relaxation.

Unit cell a=9.875 b=9.875 c=9.875 alpha=32.42 beta=32.42 gamma=32.42
Positions (direct):
1 Al 0.166 0.166 0.166
2 Al 0.350 0.350 0.350
3 Al 0.650 0.650 0.650
4 Al 0.834 0.834 0.834
5 Ta 0.000 0.000 0.000
6 Ta 0.091 0.584 0.091
7 Ta 0.584 0.091 0.091
8 Ta 0.909 0.909 0.416
9 Ta 0.452 0.452 0.452
10 Ta 0.548 0.548 0.548
11 Ta 0.091 0.091 0.584
12 Ta 0.909 0.416 0.909
13 Ta 0.416 0.909 0.909

Calculated values
As for the space-group type: R-3m (166). As for the size of the total moment: 0.00 Bohr magnetons per cell. Its raw total energy is -117.57 eV for the cell shown. For the energy relative to the lowest polymorph listed for this composition, the calculation gives 0.290 eV/atom.

=====

## Ta4Al11 (GGA-PBE)

Data for Ta4Al11 after structural relaxation.

Unit cell a=9.785 b=9.785 c=5.193 alpha=90.00 beta=90.00 gamma=90.00
Positions (direct):
1 Al 0.096 0.096 0.000
2 Al 0.555 0.242 0.000
3 Al 0.758 0.445 0.000
4 Al 0.500 0.500 0.000
5 Al 0.242 0.555 0.000
6 Al 0.445 0.758 0.000
7 Al 0.904 0.904 0.000
8 Al 0.810 0.190 0.249
9 Al 0.190 0.810 0.249
10 Al 0.310 0.310 0.251
11 Al 0.690 0.690 0.251
12 Al 0.000 0.000 0.500
13 Al 0.258 0.055 0.500
14 Al 0.055 0.258 0.500
15 Al 0.596 0.404 0.500
16 Al 0.404 0.596 0.500
17 Al 0.945 0.742 0.500
18 Al 0.742 0.945 0.500
19 Al 0.310 0.310 0.749
20 Al 0.690 0.690 0.749
21 Al 0.810 0.190 0.751
22 Al 0.190 0.810 0.751
23 Ta 0.366 0.025 0.000
24 Ta 0.025 0.366 0.000
25 Ta 0.975 0.634 0.000
26 Ta 0.634 0.975 0.000
27 Ta 0.525 0.134 0.500
28 Ta 0.866 0.475 0.500
29 Ta 0.134 0.525 0.500
30 Ta 0.475 0.866 0.500

Calculated values
As for the space-group type: P4_2/mnm (136). As for the size of the total moment: 0.01 Bohr magnetons per cell. Its raw total energy is -180.89 eV for the cell shown.